1.
VASP calculation (meta-GGA SCAN) on CaHg5 at its PBEsol-relaxed geometry.

Structure (extended XYZ):
```
6
Lattice="-4.4530 0.5390 -0.2078 0.2097 -0.0760 -4.6903 1.4247 -6.8653 0.1750" Properties=species:S:1:pos:R:3 pbc="T T T"
Ca -2.2265 0.2695 -0.1039
Hg -2.7567 -4.0926 -0.0569
Hg -0.2715 -2.2337 0.0241
Hg 0.1048 -0.0380 -2.3451
Hg -0.4308 -4.4448 -2.2977
Hg -2.3877 -1.9575 -2.4255
```

Calculated values
The symmetry is Cmmm, No. 65. For the total energy, the calculation gives -58.743 eV per atom. As for the mass density: 12.362 g cm⁻³. The value obtained for the volume is 23.4 A^3/atom. The excess energy over the best structure of this formula in the dataset is 0.0000 eV/atom. As for the energy of formation: -0.327 eV/atom.

***

2.
VASP calculation (meta-GGA SCAN) on ScCrMo3 at its PBEsol-relaxed geometry.

Structure (extended XYZ):
```
5
Lattice="4.4727 0.0000 0.0000 0.0000 4.4727 0.0000 0.0000 0.0000 4.4727" Properties=species:S:1:pos:R:3 pbc="T T T"
Sc 2.2363 2.2363 2.2363
Cr 0.0000 0.0000 0.0000
Mo 0.0000 2.2363 0.0000
Mo 0.0000 0.0000 2.2363
Mo 2.2363 0.0000 0.0000
```

Calculated values
The symmetry is Pm-3m, No. 221. For the total energy, the calculation gives -26.574 eV per atom. As for the mass density: 7.141 g cm⁻³. The value obtained for the volume is 17.9 A^3/atom. As for the energy of formation: 0.882 eV/atom.

***

3.
VASP calculation (meta-GGA SCAN) on Cr2ReW at its PBEsol-relaxed geometry.

Structure (extended XYZ):
```
4
Lattice="-2.8644 -0.5231 -0.5960 -0.3929 -1.0042 2.7697 -1.3914 5.5505 1.8151" Properties=species:S:1:pos:R:3 pbc="T T T"
Re -0.6765 2.6985 0.8825
W -2.6938 3.4854 2.4763
Cr -0.0159 0.0633 0.0207
Cr -1.9583 0.5511 1.5168
```

Calculated values
The symmetry is P4mm, No. 99. For the total energy, the calculation gives -44.361 eV per atom. As for the mass density: 14.843 g cm⁻³. The value obtained for the volume is 13.3 A^3/atom. As for the energy of formation: 0.028 eV/atom.

***

4.
VASP calculation (meta-GGA SCAN) on TlIO3 at its PBEsol-relaxed geometry.

Structure (extended XYZ):
```
5
Lattice="4.4371 0.0018 0.0017 0.1069 4.4358 0.0017 0.1069 0.1044 4.4346" Properties=species:S:1:pos:R:3 pbc="T T T"
I 2.3279 2.2734 2.2214
Tl 0.0217 0.0212 0.0207
O 4.1491 2.0891 2.0413
O 2.1867 2.1355 4.0501
O 2.1867 4.0985 2.0413
```

Calculated values
The symmetry is R3m, No. 160. For the formation energy without anion corrections, the calculation gives -3.00 eV per formula unit. For the total energy, the calculation gives -26.159 eV per atom. As for the mass density: 7.216 g cm⁻³. The value obtained for the volume is 17.5 A^3/atom.

***

5.
VASP calculation (meta-GGA SCAN) on CaBe3W at its PBEsol-relaxed geometry.

Structure (extended XYZ):
```
5
Lattice="4.4422 0.0000 0.0000 0.0000 4.4422 0.0000 0.0000 0.0000 4.4422" Properties=species:S:1:pos:R:3 pbc="T T T"
Be 0.0000 2.2211 0.0000
Be 0.0000 0.0000 2.2211
Be 2.2211 0.0000 0.0000
Ca 2.2211 2.2211 2.2211
W 0.0000 0.0000 0.0000
```

Calculated values
The symmetry is Pm-3m, No. 221. For the total energy, the calculation gives -17.651 eV per atom. As for the mass density: 4.754 g cm⁻³. The value obtained for the volume is 17.5 A^3/atom. As for the energy of formation: 0.831 eV/atom.

***

6.
VASP calculation (meta-GGA SCAN) on LaYBe2 at its PBEsol-relaxed geometry.

Structure (extended XYZ):
```
4
Lattice="-0.6866 -0.0233 -3.9834 -2.3877 -2.8292 -1.6228 -5.7977 2.6174 -1.0670" Properties=species:S:1:pos:R:3 pbc="T T T"
Y -1.6969 -0.4484 -1.7558
Be -5.2541 2.2110 -1.1583
Be -7.3662 0.3561 -4.8853
La -4.7884 0.1459 -3.2774
```

Calculated values
The symmetry is R3m, No. 160. For the total energy, the calculation gives -19.837 eV per atom. As for the mass density: 4.798 g cm⁻³. The value obtained for the volume is 21.3 A^3/atom. As for the energy of formation: 0.077 eV/atom.

***

7.
VASP calculation (meta-GGA SCAN) on Al5Te at its PBEsol-relaxed geometry.

Structure (extended XYZ):
```
6
Lattice="-3.5135 4.1465 0.2033 -2.9148 0.8760 4.5073 1.0662 4.3167 3.1318" Properties=species:S:1:pos:R:3 pbc="T T T"
Te 0.0000 0.0000 0.0000
Al -1.3405 2.3348 1.9606
Al -1.9005 5.3928 2.6586
Al -3.8742 3.6871 3.3405
Al -3.3456 5.8271 4.8932
Al -1.6038 3.7714 4.7924
```

Calculated values
The symmetry is F-43m, No. 216. For the formation energy without anion corrections, the calculation gives 1.40 eV per formula unit. For the total energy, the calculation gives -12.435 eV per atom. As for the mass density: 3.832 g cm⁻³. The value obtained for the volume is 19.0 A^3/atom. The excess energy over the best structure of this formula in the dataset is 0.0435 eV/atom.

***

8.
VASP calculation (meta-GGA SCAN) on SrTaIn2 at its PBEsol-relaxed geometry.

Structure (extended XYZ):
```
4
Lattice="-2.8371 2.4107 -2.2935 -0.7014 -3.3795 -2.6846 -1.9311 -1.0786 5.4235" Properties=species:S:1:pos:R:3 pbc="T T T"
In 0.0000 0.0000 0.0000
In -3.2687 0.4238 0.3205
Sr -1.7692 -0.4844 -2.4890
Ta -2.2009 -2.4713 0.1249
```

Calculated values
The symmetry is I-4m2, No. 119. For the total energy, the calculation gives -38.474 eV per atom. As for the mass density: 8.698 g cm⁻³. The value obtained for the volume is 23.8 A^3/atom. As for the energy of formation: 0.434 eV/atom.

***

9.
VASP calculation (meta-GGA SCAN) on Hg2PtW at its PBEsol-relaxed geometry.

Structure (extended XYZ):
```
4
Lattice="-3.7744 0.6185 -2.5943 -3.9735 -2.0463 1.1764 -3.5172 2.5328 1.6043" Properties=species:S:1:pos:R:3 pbc="T T T"
Hg -8.4488 0.8288 0.1398
Hg -2.8163 0.2763 0.0466
Pt 0.0000 0.0000 0.0000
W -5.6325 0.5526 0.0932
```

Calculated values
The symmetry is Fm-3m, No. 225. For the total energy, the calculation gives -68.190 eV per atom. As for the mass density: 18.558 g cm⁻³. The value obtained for the volume is 17.5 A^3/atom. The excess energy over the best structure of this formula in the dataset is 0.3159 eV/atom. As for the energy of formation: 0.863 eV/atom.

***

10.
VASP calculation (meta-GGA SCAN) on MgInHg at its PBEsol-relaxed geometry.

Structure (extended XYZ):
```
3
Lattice="-1.6276 2.4861 1.3058 -0.4339 -1.7138 2.7220 6.4496 1.9388 0.3137" Properties=species:S:1:pos:R:3 pbc="T T T"
Mg 0.6794 1.1198 2.7485
Hg 0.1097 0.0471 0.0471
In 3.5990 1.5442 1.5459
```

Calculated values
The symmetry is I4mm, No. 107. For the total energy, the calculation gives -35.664 eV per atom. As for the mass density: 8.447 g cm⁻³. The value obtained for the volume is 22.3 A^3/atom. As for the energy of formation: -0.156 eV/atom.

***

11.
VASP calculation (meta-GGA SCAN) on ScFeIr4 at its PBEsol-relaxed geometry.

Structure (extended XYZ):
```
6
Lattice="-4.0117 -2.0020 -2.4740 -3.5684 -2.6018 2.5921 -4.6673 2.0054 0.6458" Properties=species:S:1:pos:R:3 pbc="T T T"
Fe 0.0000 0.0000 0.0000
Ir -4.5914 -0.9741 0.2864
Ir -6.9271 0.0294 0.6096
Ir -6.5990 -1.9760 -0.9517
Ir -6.3772 -2.2762 1.5836
Sc -9.1855 -1.9488 0.5730
```

Calculated values
The symmetry is F-43m, No. 216. For the total energy, the calculation gives -53.109 eV per atom. As for the mass density: 15.210 g cm⁻³. The value obtained for the volume is 15.8 A^3/atom. As for the energy of formation: -0.315 eV/atom.

***

12.
VASP calculation (meta-GGA SCAN) on CdHgBr at its PBEsol-relaxed geometry.

Structure (extended XYZ):
```
3
Lattice="-1.9281 2.5699 -1.5898 0.7211 -2.3292 -2.6276 -4.4620 -3.1302 3.3866" Properties=species:S:1:pos:R:3 pbc="T T T"
Hg -3.2164 -1.9112 0.8115
Br -0.1513 -0.0899 0.0382
Cd -2.3012 -0.8884 -1.6804
```

Calculated values
The symmetry is Fmm2, No. 42. For the formation energy without anion corrections, the calculation gives -0.74 eV per formula unit. For the total energy, the calculation gives -39.595 eV per atom. As for the mass density: 8.695 g cm⁻³. The value obtained for the volume is 25.0 A^3/atom.

***

Number 1: magnetization 0.000 μB/f.u.. Number 2: magnetization 1.867 μB/f.u.. Number 3: magnetization 0.000 μB/f.u.. Number 4: magnetization 0.000 μB/f.u.. Number 5: magnetization 0.000 μB/f.u.. Number 6: magnetization 0.000 μB/f.u.. Number 7: magnetization 0.044 μB/f.u.. Number 8: magnetization 0.743 μB/f.u.. Number 9: magnetization 2.023 μB/f.u.. Number 10: magnetization 0.000 μB/f.u.. Number 11: magnetization 4.542 μB/f.u.. Number 12: magnetization 0.000 μB/f.u..